First-principles (PBE) data for Y2Er3Tc2 after structural relaxation, as listed in Alexandria.

Geometry as POSCAR:
```
Y2Er3Tc2
1.0
5.698 -2.027 0.000
5.698 2.027 0.000
-3.097 0.000 7.739
Y Er Tc
2 3 2
direct
0.163 0.163 0.312
0.837 0.837 0.688
0.374 0.374 0.072
0.500 0.500 0.500
0.626 0.626 0.928
0.166 0.166 0.712
0.834 0.834 0.288
```

Energy of formation   -0.08 eV per atom
Calculated volume   25.53 Å³ per atom


First-principles (PBE) data for YEr2Tc9 after structural relaxation, as listed in Alexandria.

Geometry as POSCAR:
```
YEr2Tc9
1.0
2.672 1.543 8.705
-2.672 1.543 8.705
0.000 -3.086 8.705
Y Er Tc
1 2 9
direct
0.000 0.000 0.000
0.144 0.144 0.144
0.856 0.856 0.856
0.073 0.589 0.589
0.338 0.338 0.338
0.411 0.411 0.927
0.411 0.927 0.411
0.500 0.500 0.500
0.589 0.073 0.589
0.589 0.589 0.073
0.662 0.662 0.662
0.927 0.411 0.411
```

Energy of formation   -0.08 eV per atom
Calculated volume   17.95 Å³ per atom


First-principles (PBE) data for YEr3Tc after structural relaxation, as listed in Alexandria.

Geometry as POSCAR:
```
YEr3Tc
1.0
4.820 0.000 0.000
0.000 8.163 0.000
0.000 0.000 6.998
Y Er Tc
2 6 2
direct
0.250 0.250 0.074
0.750 0.750 0.926
0.250 0.549 0.677
0.250 0.750 0.264
0.250 0.951 0.677
0.750 0.049 0.323
0.750 0.250 0.736
0.750 0.451 0.323
0.250 0.250 0.478
0.750 0.750 0.522
```

Excess energy over the best structure of this formula in the dataset   14 meV per atom
Energy of formation   -0.02 eV per atom
Calculated volume   27.54 Å³ per atom


First-principles (PBE) data for YEr2Tc after structural relaxation, as listed in Alexandria.

Geometry as POSCAR:
```
YEr2Tc
1.0
3.441 0.000 0.000
0.000 3.441 0.000
0.000 0.000 8.822
Y Er Tc
1 2 1
direct
0.000 0.000 0.000
0.500 0.500 0.316
0.500 0.500 0.684
0.000 0.000 0.500
```

Excess energy over the best structure of this formula in the dataset   116 meV per atom
Energy of formation   -0.01 eV per atom
Calculated volume   26.11 Å³ per atom


First-principles (PBE) data for Y2Er8Tc after structural relaxation, as listed in Alexandria.

Geometry as POSCAR:
```
Y2Er8Tc
1.0
9.241 -2.710 0.000
9.241 2.710 0.000
-0.113 0.000 6.393
Y Er Tc
2 8 1
direct
0.237 0.237 0.329
0.763 0.763 0.671
0.038 0.038 0.239
0.157 0.157 0.824
0.353 0.353 0.868
0.425 0.425 0.370
0.575 0.575 0.630
0.647 0.647 0.132
0.843 0.843 0.176
0.962 0.962 0.761
0.500 0.500 0.000
```

Energy of formation   0.01 eV per atom
Calculated volume   29.11 Å³ per atom


First-principles (PBE) data for YEr2Tc after structural relaxation, as listed in Alexandria.

Geometry as POSCAR:
```
YEr2Tc
1.0
7.496 0.000 0.000
0.000 9.039 0.000
0.000 0.000 6.188
Y Er Tc
4 8 4
direct
0.040 0.250 0.125
0.460 0.750 0.625
0.540 0.250 0.375
0.960 0.750 0.875
0.175 0.063 0.652
0.175 0.437 0.652
0.325 0.563 0.152
0.325 0.937 0.152
0.675 0.063 0.848
0.675 0.437 0.848
0.825 0.563 0.348
0.825 0.937 0.348
0.116 0.750 0.448
0.384 0.250 0.948
0.616 0.750 0.052
0.884 0.250 0.552
```

Excess energy over the best structure of this formula in the dataset   0 meV per atom
Energy of formation   -0.12 eV per atom
Calculated volume   26.21 Å³ per atom